CuPbCl, optimized geometry, DFT GGA-PBE; distance to the lowest polymorph of the same formula = 0 meV/atom; V = 73.7 Å³/f.u.; total DFT energy (no corrections) = -3.436 eV/atom
1.0
-3.200 0.008 -1.566
1.567 -3.089 0.836
-2.945 0.134 6.018
Cl Cu Pb
1 1 1
direct
0.000 0.000 0.108
0.667 0.333 0.295
0.333 0.667 0.597

=====

NaHfUO6, optimized geometry, DFT GGA-PBE; V = 168.6 Å³/f.u.; total DFT energy (no corrections) = -8.497 eV/atom
1.0
-2.688 -7.075 0.517
7.493 -2.774 1.005
-2.916 5.518 4.704
Na O U Hf
2 12 2 2
direct
0.981 0.731 0.962
0.019 0.269 0.038
0.816 0.066 0.631
0.810 0.049 0.238
0.427 0.688 0.238
0.573 0.951 0.762
0.184 0.934 0.369
0.810 0.688 0.238
0.190 0.951 0.762
0.573 0.312 0.762
0.562 0.312 0.124
0.438 0.688 0.876
0.190 0.312 0.762
0.427 0.049 0.238
0.500 0.000 0.000
0.500 0.500 0.000
0.000 0.000 0.500
0.500 0.000 0.500

=====

SrNiC2, optimized geometry, DFT GGA-PBE; V = 56.3 Å³/f.u.; total DFT energy (no corrections) = -5.764 eV/atom; energy of formation = 2.854 eV per formula unit
1.0
-2.430 -0.149 -3.489
-1.612 -3.722 1.282
-6.549 1.067 1.922
C Sr Ni
4 2 2
direct
0.375 0.125 0.250
0.375 0.625 0.250
0.375 0.625 0.750
0.875 0.625 0.750
0.750 0.250 0.500
0.000 0.000 0.000
0.500 0.500 0.000
0.250 0.750 0.500

=====

LaEr3Th2, optimized geometry, DFT GGA-PBE; distance to the lowest polymorph of the same formula = 0 meV/atom; V = 194.2 Å³/f.u.; total DFT energy (no corrections) = -5.543 eV/atom; energy of formation = 0.200 eV per formula unit
1.0
-3.079 0.256 -1.850
5.982 -2.739 -6.831
-2.354 -11.085 2.383
Th Er La
4 6 2
direct
0.000 0.000 0.500
0.443 0.886 0.750
0.557 0.114 0.250
0.000 0.000 0.000
0.896 0.791 0.250
0.337 0.674 0.008
0.337 0.674 0.492
0.663 0.326 0.508
0.104 0.209 0.750
0.663 0.326 0.992
0.781 0.561 0.750
0.219 0.439 0.250

=====

Gd2TlRu, optimized geometry, DFT GGA-PBE; distance to the lowest polymorph of the same formula = 0 meV/atom; V = 98.2 Å³/f.u.; total DFT energy (no corrections) = -10.323 eV/atom; energy of formation = -1.490 eV per formula unit
1.0
-0.845 2.620 -1.996
-3.001 -1.462 -0.648
-3.390 3.999 6.682
Gd Tl Ru
2 1 1
direct
0.000 0.000 0.799
0.000 0.000 0.201
0.500 0.500 0.500
0.500 0.500 0.000

=====

CaSnSb2, optimized geometry, DFT GGA-PBE; V = 156.2 Å³/f.u.; total DFT energy (no corrections) = -3.861 eV/atom
1.0
-5.060 3.073 4.524
3.625 -2.731 5.909
2.376 4.865 5.488
Sb Ca Sn
4 2 2
direct
0.090 0.625 0.250
0.875 0.910 0.750
0.660 0.125 0.250
0.375 0.340 0.750
0.250 0.750 0.500
0.500 0.500 0.000
0.750 0.250 0.500
0.000 0.000 0.000